Entry 1:
CuHg2PtN after structural relaxation. Source: Alexandria, functional PBE.

Cell lengths 5.5003, 5.5003, 3.6576 Å; angles 90.00, 90.00, 90.00 degrees
Atoms (fractional coordinates):
Cu 0.0000 0.0000 0.0000
Hg 0.0000 0.5000 0.5000
Hg 0.5000 0.0000 0.5000
Pt 0.5000 0.5000 0.5000
N 0.5000 0.5000 0.0000

Calculated values
Uncorrected formation energy in kJ/mol of atoms: 65.2
Total magnetization in μB/atom: 0.00


Entry 2:
Cu2ReHgN after structural relaxation. Source: Alexandria, functional PBE.

Cell lengths 3.8384, 3.8384, 5.2274 Å; angles 90.00, 90.00, 90.00 degrees
Atoms (fractional coordinates):
Cu 0.0000 0.5000 0.0000
Cu 0.5000 0.0000 0.0000
Re 0.0000 0.0000 0.5000
Hg 0.5000 0.5000 0.5000
N 0.5000 0.5000 0.0000

Calculated values
Uncorrected formation energy in kJ/mol of atoms: 117.6
Total magnetization in μB/atom: 0.69


Entry 3:
CuHgRh2N after structural relaxation. Source: Alexandria, functional PBE.

Cell lengths 4.1081, 4.1081, 4.0339 Å; angles 90.00, 90.00, 90.00 degrees
Atoms (fractional coordinates):
Cu 0.0000 0.0000 0.0000
Hg 0.5000 0.5000 0.0000
Rh 0.0000 0.5000 0.5000
Rh 0.5000 0.0000 0.5000
N 0.0000 0.0000 0.5000

Calculated values
Uncorrected formation energy in kJ/mol of atoms: 19.2
Total magnetization in μB/atom: 0.00


Entry 4:
CuHgSN2 after structural relaxation. Source: Alexandria, functional PBE.

Cell lengths 3.7691, 3.7691, 5.9209 Å; angles 90.00, 90.00, 90.00 degrees
Atoms (fractional coordinates):
Cu 0.0000 0.0000 0.0000
Hg 0.5000 0.5000 0.5000
S 0.0000 0.0000 0.5000
N 0.0000 0.5000 0.0000
N 0.5000 0.0000 0.0000

Calculated values
Uncorrected formation energy in kJ/mol of atoms: 137.9
Energy above the most stable polymorph in this dataset in kJ/mol of atoms: 0.0
Total magnetization in μB/atom: 0.74


Entry 5:
CuHg2SN after structural relaxation. Source: Alexandria, functional PBE.

Cell lengths 5.3443, 5.3443, 3.4352 Å; angles 90.00, 90.00, 90.00 degrees
Atoms (fractional coordinates):
Cu 0.0000 0.0000 0.0000
Hg 0.0000 0.5000 0.0000
Hg 0.5000 0.0000 0.0000
S 0.5000 0.5000 0.5000
N 0.0000 0.0000 0.5000

Calculated values
Uncorrected formation energy in kJ/mol of atoms: 74.1
Total magnetization in μB/atom: 0.00


Entry 6:
CuHgSN2 after structural relaxation. Source: Alexandria, functional PBE.

Cell lengths 4.1638, 4.1638, 5.4761 Å; angles 90.00, 90.00, 90.00 degrees
Atoms (fractional coordinates):
Cu 0.0000 0.0000 0.0000
Hg 0.5000 0.5000 0.5000
S 0.5000 0.5000 0.0000
N 0.0000 0.5000 0.5000
N 0.5000 0.0000 0.5000

Calculated values
Uncorrected formation energy in kJ/mol of atoms: 204.0
Energy above the most stable polymorph in this dataset in kJ/mol of atoms: 66.1
Total magnetization in μB/atom: 0.71


Entry 7:
Cu2HgSeN after structural relaxation. Source: Alexandria, functional PBE.

Cell lengths 4.8633, 4.8633, 5.0994 Å; angles 90.00, 90.00, 90.00 degrees
Atoms (fractional coordinates):
Cu 0.0000 0.5000 0.0000
Cu 0.5000 0.0000 0.0000
Hg 0.0000 0.0000 0.0000
Se 0.0000 0.0000 0.5000
N 0.5000 0.5000 0.5000

Calculated values
Uncorrected formation energy in kJ/mol of atoms: 197.3
Total magnetization in μB/atom: 0.00


Entry 8:
Sr2CuHgN after structural relaxation. Source: Alexandria, functional PBE.

Cell lengths 5.4971, 5.4971, 3.8063 Å; angles 90.00, 90.00, 90.00 degrees
Atoms (fractional coordinates):
Sr 0.0000 0.5000 0.0000
Sr 0.5000 0.0000 0.0000
Cu 0.0000 0.0000 0.5000
Hg 0.5000 0.5000 0.5000
N 0.0000 0.0000 0.0000

Calculated values
Uncorrected formation energy in kJ/mol of atoms: -34.4
Total magnetization in μB/atom: 0.00


Q: Number 7 is which compound?
A: Cu2HgSeN


Q: Which of these has the lowest uncorrected formation energy?
A: Sr2CuHgN


Please write out number 4 again, unchanged.
CuHgSN2 after structural relaxation. Source: Alexandria, functional PBE.

Cell lengths 3.7691, 3.7691, 5.9209 Å; angles 90.00, 90.00, 90.00 degrees
Atoms (fractional coordinates):
Cu 0.0000 0.0000 0.0000
Hg 0.5000 0.5000 0.5000
S 0.0000 0.0000 0.5000
N 0.0000 0.5000 0.0000
N 0.5000 0.0000 0.0000

Calculated values
Uncorrected formation energy in kJ/mol of atoms: 137.9
Energy above the most stable polymorph in this dataset in kJ/mol of atoms: 0.0
Total magnetization in μB/atom: 0.74